No. 1
# NaYPb

Crystalline NaYPb at its relaxed geometry (GGA-PBE, Alexandria via LeMat-Bulk).

- Relative energy among the computed polymorphs: 162 meV per atom
- E_form: -214 meV per atom
- VASP energy: -4.045 eV per atom

a b c (Å): 5.2556 4.3804 7.9336
angles (deg): 90.00 70.65 90.00
Sites, in units of the cell vectors:
Y 0.8769 0.5000 0.4498
Y 0.5605 0.5000 0.0826
Pb 0.7210 0.0000 0.7632
Pb 0.0305 0.0000 0.1442
Na 0.3728 0.0000 0.4581
Na 0.2085 0.5000 0.7872

***

No. 2
# NaYPb2

Crystalline NaYPb2 at its relaxed geometry (GGA-PBE, Alexandria via LeMat-Bulk).

- E_form: -235 meV per atom
- VASP energy: -4.035 eV per atom

a b c (Å): 3.6876 3.6876 10.5195
angles (deg): 79.91 79.91 60.00
Sites, in units of the cell vectors:
Na 0.5000 0.5000 0.5000
Y 0.0000 0.0000 0.0000
Pb 0.7496 0.7496 0.7512
Pb 0.2504 0.2504 0.2488

***

No. 3
# NaYPb

Crystalline NaYPb at its relaxed geometry (GGA-PBE, Alexandria via LeMat-Bulk).

- Relative energy among the computed polymorphs: 454 meV per atom
- E_form: 78 meV per atom
- VASP energy: -3.752 eV per atom

a b c (Å): 5.1907 5.1907 5.1907
angles (deg): 60.00 60.00 60.00
Sites, in units of the cell vectors:
Y 0.0000 0.0000 0.0000
Na 0.2500 0.2500 0.2500
Pb 0.7500 0.7500 0.7500

***

No. 4
# NaYPb3

Crystalline NaYPb3 at its relaxed geometry (GGA-PBE, Alexandria via LeMat-Bulk).

- Relative energy among the computed polymorphs: 0 meV per atom
- E_form: -226 meV per atom
- VASP energy: -4.007 eV per atom

a b c (Å): 6.4003 6.4988 14.1499
angles (deg): 90.00 90.00 90.18
Sites, in units of the cell vectors:
Pb 0.7113 0.7500 0.1057
Pb 0.7500 0.0000 0.4957
Pb 0.2113 0.7500 0.8943
Pb 0.4898 0.2501 0.2891
Pb 0.5102 0.7499 0.7109
Pb 0.7500 0.5000 0.4949
Pb 0.0102 0.7499 0.2891
Pb 0.2500 0.5000 0.5051
Pb 0.2500 0.0000 0.5043
Pb 0.9898 0.2501 0.7109
Pb 0.2887 0.2500 0.8943
Pb 0.7887 0.2500 0.1057
Na 0.2500 0.5000 0.1021
Na 0.7500 0.0000 0.8981
Na 0.7500 0.5000 0.8979
Na 0.2500 0.0000 0.1019
Y 0.5023 0.7502 0.3158
Y 0.4977 0.2498 0.6842
Y 0.0023 0.7502 0.6842
Y 0.9977 0.2498 0.3158

***

No. 5
# NaY2Pb

Crystalline NaY2Pb at its relaxed geometry (GGA-PBE, Alexandria via LeMat-Bulk).

- E_form: 114 meV per atom
- VASP energy: -4.375 eV per atom

a b c (Å): 8.7290 8.7290 7.0464
angles (deg): 51.73 51.73 90.00
Sites, in units of the cell vectors:
Pb 0.7500 0.2500 0.5000
Pb 0.0000 0.0000 0.0000
Na 0.2500 0.7500 0.5000
Na 0.5000 0.5000 0.0000
Y 0.8750 0.8997 0.7500
Y 0.6497 0.1250 0.2500
Y 0.1003 0.6250 0.2500
Y 0.3750 0.3503 0.7500

***

No. 6
# NaY2Pb

Crystalline NaY2Pb at its relaxed geometry (GGA-PBE, Alexandria via LeMat-Bulk).

- E_form: 253 meV per atom
- VASP energy: -4.236 eV per atom

a b c (Å): 8.8514 8.8514 8.8514
angles (deg): 38.82 155.39 150.45
Sites, in units of the cell vectors:
Y 0.0000 0.6866 0.6866
Y 0.0000 0.3134 0.3134
Na 0.0000 0.0000 0.0000
Pb 0.0000 0.5000 0.5000

***

No. 7
# Na2YPb2

Crystalline Na2YPb2 at its relaxed geometry (GGA-PBE, Alexandria via LeMat-Bulk).

- Relative energy among the computed polymorphs: 0 meV per atom
- E_form: -171 meV per atom
- VASP energy: -3.474 eV per atom

a b c (Å): 4.4063 4.4063 8.1953
angles (deg): 74.41 74.41 90.00
Sites, in units of the cell vectors:
Na 0.7500 0.2500 0.5000
Na 0.2500 0.7500 0.5000
Y 0.0000 0.0000 0.0000
Pb 0.5974 0.5974 0.8052
Pb 0.4026 0.4026 0.1948

***

No. 8
# Na2YPb2

Crystalline Na2YPb2 at its relaxed geometry (GGA-PBE, Alexandria via LeMat-Bulk).

- Relative energy among the computed polymorphs: 64 meV per atom
- E_form: -107 meV per atom
- VASP energy: -3.410 eV per atom

a b c (Å): 8.5751 8.5751 4.0343
angles (deg): 90.00 90.00 90.00
Sites, in units of the cell vectors:
Pb 0.1376 0.3624 0.0000
Pb 0.6376 0.1376 0.0000
Pb 0.8624 0.6376 0.0000
Pb 0.3624 0.8624 0.0000
Y 0.5000 0.5000 0.0000
Y 0.0000 0.0000 0.0000
Na 0.6597 0.8403 0.5000
Na 0.8403 0.3403 0.5000
Na 0.1597 0.6597 0.5000
Na 0.3403 0.1597 0.5000